{"formula": "AlCo3Pb", "functional": "GGA-PBE", "state": "optimized geometry", "polymorph_energy_mev_per_atom": 821, "m_tot_mub_per_cell": 3.96, "delta_e_f_kj_per_mol_atoms": 154.5, "dos_at_fermi_per_ev_cell": 17.24, "cell": [[4.755, 0.000, 0.000], [0.000, 4.755, 0.000], [0.000, 0.000, 4.755]], "species": ["Al", "Co", "Co", "Co", "Pb"], "fractional_positions": [[0.000, 0.000, 0.000], [0.000, 0.500, 0.500], [0.500, 0.000, 0.500], [0.500, 0.500, 0.000], [0.500, 0.500, 0.500]]}